1.
Pr2Si3Ni12Rh: optimized geometry, PBE-GGA.

Formation energy from raw total energies = 0.00 eV/atom
Size of the total moment = 0.00 μB per formula unit
Final energy = -5.6932 eV/atom

Geometry as POSCAR:
```
Pr2Si3Ni12Rh
1.0
4.295 2.480 3.940
-4.295 2.480 3.940
0.000 -4.959 3.940
Pr Si Ni Rh
2 3 12 1
Cartesian
0.000 0.000 1.935
0.000 0.000 9.885
-2.147 -1.240 3.940
-2.147 1.240 7.880
0.000 2.480 3.940
0.000 -2.405 3.265
-2.083 1.202 3.265
-2.093 -1.209 6.228
0.000 -2.417 5.593
-2.093 1.209 5.593
-2.083 -1.202 8.556
2.083 1.202 3.265
2.093 -1.209 6.228
0.000 2.417 6.228
2.093 1.209 5.593
2.083 -1.202 8.556
0.000 2.405 8.556
0.000 0.000 5.910
```

---

2.
Pr2NiSn4Rh3: optimized geometry, PBE-GGA.

Size of the total moment = 0.00 μB per formula unit
DFT formation energy = -0.6521 eV per atom
Final energy = -5.9927 eV/atom

Geometry as POSCAR:
```
Pr2NiSn4Rh3
1.0
4.594 0.000 0.000
0.000 4.594 0.000
0.000 0.000 10.350
Pr Ni Sn Rh
2 1 4 3
Cartesian
0.000 2.297 2.510
2.297 0.000 7.840
2.297 2.297 0.000
0.000 0.000 5.175
0.000 2.297 9.105
2.297 0.000 1.245
2.297 2.297 5.175
0.000 0.000 0.000
0.000 2.297 6.519
2.297 0.000 3.831
```

---

3.
Pr2Ni3Sn4Rh: optimized geometry, PBE-GGA.

Size of the total moment = 0.00 μB per formula unit
DFT formation energy = -0.5752 eV per atom
Final energy = -5.6018 eV/atom

Geometry as POSCAR:
```
Pr2Ni3Sn4Rh
1.0
4.463 0.000 0.000
0.000 4.463 0.000
0.000 0.000 10.414
Pr Ni Sn Rh
2 3 4 1
Cartesian
0.000 2.232 2.563
2.232 0.000 7.851
0.000 0.000 0.000
0.000 2.232 6.520
2.232 0.000 3.893
0.000 0.000 5.207
0.000 2.232 9.033
2.232 0.000 1.380
2.232 2.232 5.207
2.232 2.232 0.000
```

---

4.
SrPrNiRh: optimized geometry, PBE-GGA.

Size of the total moment = 0.00 μB per formula unit
DFT formation energy = -0.1699 eV per atom
Final energy = -5.0684 eV/atom

Geometry as POSCAR:
```
SrPrNiRh
1.0
0.000 3.582 3.582
3.582 0.000 3.582
3.582 3.582 0.000
Sr Pr Ni Rh
1 1 1 1
Cartesian
0.000 0.000 0.000
3.582 3.582 3.582
5.373 5.373 5.373
1.791 1.791 1.791
```

---

5.
PrThNiRh: optimized geometry, PBE-GGA.

E above lowest polymorph = 0.0 kJ per mole of atoms
Size of the total moment = 0.00 μB per formula unit
DFT formation energy = -0.6084 eV per atom
Final energy = -6.9414 eV/atom

Geometry as POSCAR:
```
PrThNiRh
1.0
4.220 0.000 0.000
0.000 1.921 5.658
0.000 -1.921 5.658
Pr Th Ni Rh
1 1 1 1
Cartesian
0.000 0.000 0.000
2.110 0.000 8.276
2.110 0.000 5.007
0.000 0.000 3.034
```

---

6.
PrThNiRh: optimized geometry, PBE-GGA.

E above lowest polymorph = 16.6 kJ per mole of atoms
Size of the total moment = 0.00 μB per formula unit
DFT formation energy = -0.4360 eV per atom
Final energy = -6.7690 eV/atom

Geometry as POSCAR:
```
PrThNiRh
1.0
0.000 3.545 3.545
3.545 0.000 3.545
3.545 3.545 0.000
Pr Th Ni Rh
1 1 1 1
Cartesian
0.000 0.000 0.000
3.545 3.545 3.545
1.772 1.772 1.772
5.317 5.317 5.317
```